(1)
VASP calculation (PBE-GGA) on crystalline NbMoPd4 at its relaxed geometry.

```
NbMoPd4
1.0
2.803 0.000 0.000
0.000 3.946 0.000
0.000 0.000 8.363
Nb Mo Pd
1 1 4
Direct
0.000 0.000 0.000 Nb
0.500 0.500 0.500 Mo
0.000 0.000 0.337 Pd
0.000 0.000 0.663 Pd
0.500 0.500 0.168 Pd
0.500 0.500 0.832 Pd
```

- calculated total energy (eV per atom) = -7.21
- E_form (eV/atom) = -0.266

---

(2)
VASP calculation (PBE-GGA) on crystalline YHoAg2Sb4 at its relaxed geometry.

```
YHoAg2Sb4
1.0
4.339 0.000 0.000
0.000 4.339 0.000
0.000 0.000 10.378
Y Ho Ag Sb
1 1 2 4
Direct
0.000 0.000 0.000 Y
0.500 0.500 0.473 Ho
0.000 0.500 0.735 Ag
0.500 0.000 0.735 Ag
0.000 0.000 0.549 Sb
0.000 0.500 0.238 Sb
0.500 0.000 0.238 Sb
0.500 0.500 0.921 Sb
```

- calculated total energy (eV per atom) = -4.76

---

(3)
VASP calculation (PBE-GGA) on crystalline PrNbN2O at its relaxed geometry.

```
PrNbN2O
1.0
4.102 0.000 0.000
0.000 4.102 0.000
0.000 0.000 3.990
Pr Nb N O
1 1 2 1
Direct
0.000 0.000 0.000 Pr
0.500 0.500 0.500 Nb
0.000 0.500 0.500 N
0.500 0.000 0.500 N
0.500 0.500 0.000 O
```

- calculated total energy (eV per atom) = -8.85

---

(4)
VASP calculation (PBE-GGA) on crystalline Zr2AlRe3 at its relaxed geometry.

```
Zr2AlRe3
1.0
5.262 0.000 0.000
-2.631 4.557 0.000
0.000 0.000 8.675
Zr Al Re
4 2 6
Direct
0.333 0.667 0.065 Zr
0.333 0.667 0.435 Zr
0.667 0.333 0.565 Zr
0.667 0.333 0.935 Zr
0.000 0.000 0.000 Al
0.000 0.000 0.500 Al
0.170 0.341 0.750 Re
0.170 0.830 0.750 Re
0.341 0.170 0.250 Re
0.659 0.830 0.750 Re
0.830 0.170 0.250 Re
0.830 0.659 0.250 Re
```

- calculated total energy (eV per atom) = -10.16

---

(5)
VASP calculation (PBE-GGA) on crystalline Au3SeBr at its relaxed geometry.

```
Au3SeBr
1.0
4.791 -4.938 0.000
4.791 4.938 0.000
0.000 0.000 9.854
Au Se Br
12 4 4
Direct
0.112 0.385 0.250 Au
0.155 0.155 0.000 Au
0.155 0.155 0.500 Au
0.240 0.760 0.608 Au
0.240 0.760 0.892 Au
0.385 0.112 0.750 Au
0.615 0.888 0.250 Au
0.760 0.240 0.108 Au
0.760 0.240 0.392 Au
0.845 0.845 0.000 Au
0.845 0.845 0.500 Au
0.888 0.615 0.750 Au
0.000 0.500 0.000 Se
0.000 0.500 0.500 Se
0.500 0.000 0.000 Se
0.500 0.000 0.500 Se
0.100 0.900 0.250 Br
0.491 0.509 0.250 Br
0.509 0.491 0.750 Br
0.900 0.100 0.750 Br
```

- calculated total energy (eV per atom) = -2.82

---

(6)
VASP calculation (PBE-GGA) on crystalline HoZr at its relaxed geometry.

```
HoZr
1.0
5.335 0.000 0.000
0.000 10.284 0.000
0.000 0.000 5.848
Ho Zr
6 6
Direct
0.000 0.083 0.000 Ho
0.000 0.408 0.022 Ho
0.000 0.592 0.522 Ho
0.000 0.917 0.500 Ho
0.500 0.402 0.664 Ho
0.500 0.598 0.164 Ho
0.000 0.242 0.501 Zr
0.000 0.758 0.001 Zr
0.500 0.086 0.665 Zr
0.500 0.235 0.192 Zr
0.500 0.765 0.692 Zr
0.500 0.914 0.165 Zr
```

- calculated total energy (eV per atom) = -6.51
- E_form (eV/atom) = 0.055

---

(7)
VASP calculation (PBE-GGA) on crystalline Cu7Ag at its relaxed geometry.

```
Cu7Ag
1.0
0.000 3.678 5.229
2.617 0.000 5.229
2.617 3.678 0.000
Cu Ag
7 1
Direct
0.000 0.000 0.000 Cu
0.130 0.130 0.370 Cu
0.244 0.244 0.756 Cu
0.370 0.370 0.130 Cu
0.630 0.630 0.870 Cu
0.756 0.756 0.244 Cu
0.870 0.870 0.630 Cu
0.500 0.500 0.500 Ag
```

- calculated total energy (eV per atom) = -3.55
- ΔE to the lowest computed polymorph (meV/atom) = 8
- E_form (eV/atom) = 0.051

---

(8)
VASP calculation (PBE-GGA) on crystalline Ta2TcAs at its relaxed geometry.

```
Ta2TcAs
1.0
0.000 3.200 3.200
3.200 0.000 3.200
3.200 3.200 0.000
Ta Tc As
2 1 1
Direct
0.000 0.000 0.000 Ta
0.250 0.250 0.250 Ta
0.750 0.750 0.750 Tc
0.500 0.500 0.500 As
```

- calculated total energy (eV per atom) = -9.56

---

(9)
VASP calculation (PBE-GGA) on crystalline SmZnW at its relaxed geometry.

```
SmZnW
1.0
0.000 3.217 3.217
3.217 0.000 3.217
3.217 3.217 0.000
Sm Zn W
1 1 1
Direct
0.000 0.000 0.000 Sm
0.250 0.250 0.250 Zn
0.500 0.500 0.500 W
```

- calculated total energy (eV per atom) = -5.45
- ΔE to the lowest computed polymorph (meV/atom) = 0
- E_form (eV/atom) = 0.865

---

(10)
VASP calculation (PBE-GGA) on crystalline TmBrO at its relaxed geometry.

```
TmBrO
1.0
9.246 -1.957 0.000
9.246 1.957 0.000
-0.512 0.000 7.444
Tm Br O
4 4 4
Direct
0.191 0.191 0.116 Tm
0.192 0.192 0.614 Tm
0.808 0.808 0.386 Tm
0.809 0.809 0.884 Tm
0.077 0.077 0.842 Br
0.398 0.398 0.649 Br
0.602 0.602 0.351 Br
0.923 0.923 0.158 Br
0.255 0.255 0.372 O
0.255 0.255 0.879 O
0.745 0.745 0.121 O
0.745 0.745 0.628 O
```

- calculated total energy (eV per atom) = -6.63

---

(11)
VASP calculation (PBE-GGA) on crystalline LiBeCoPb at its relaxed geometry.

```
LiBeCoPb
1.0
0.000 2.986 2.986
2.986 0.000 2.986
2.986 2.986 0.000
Li Be Co Pb
1 1 1 1
Direct
0.000 0.000 0.000 Li
0.500 0.500 0.500 Be
0.750 0.750 0.750 Co
0.250 0.250 0.250 Pb
```

- calculated total energy (eV per atom) = -3.78
- ΔE to the lowest computed polymorph (meV/atom) = 126

---

(12)
VASP calculation (PBE-GGA) on crystalline NaHoBeTe3 at its relaxed geometry.

```
NaHoBeTe3
1.0
2.094 -7.337 0.000
2.094 7.337 0.000
0.000 0.000 11.527
Na Ho Be Te
2 2 2 6
Direct
0.241 0.759 0.750 Na
0.759 0.241 0.250 Na
0.000 0.000 0.000 Ho
0.000 0.000 0.500 Ho
0.467 0.533 0.250 Be
0.533 0.467 0.750 Be
0.073 0.927 0.250 Te
0.365 0.635 0.079 Te
0.365 0.635 0.421 Te
0.635 0.365 0.579 Te
0.635 0.365 0.921 Te
0.927 0.073 0.750 Te
```

- calculated total energy (eV per atom) = -4.11

---

(13)
VASP calculation (PBE-GGA) on crystalline CdGeTeO at its relaxed geometry.

```
CdGeTeO
1.0
4.051 0.000 0.000
0.000 4.051 0.000
0.000 0.000 10.070
Cd Ge Te O
2 2 2 2
Direct
0.250 0.250 0.118 Cd
0.750 0.750 0.882 Cd
0.250 0.250 0.420 Ge
0.750 0.750 0.580 Ge
0.250 0.250 0.823 Te
0.750 0.750 0.177 Te
0.250 0.750 0.500 O
0.750 0.250 0.500 O
```

- calculated total energy (eV per atom) = -3.97
- ΔE to the lowest computed polymorph (meV/atom) = 49

---

(14)
VASP calculation (PBE-GGA) on crystalline Gd2Dy2CI5 at its relaxed geometry.

```
Gd2Dy2CI5
1.0
9.896 -1.993 0.000
9.896 1.993 0.000
-1.846 0.000 8.444
Gd Dy C I
2 2 1 5
Direct
0.000 0.000 0.192 Gd
0.000 0.000 0.808 Gd
0.376 0.376 0.938 Dy
0.624 0.624 0.062 Dy
0.500 0.500 0.000 C
0.160 0.160 0.335 I
0.163 0.163 0.825 I
0.500 0.500 0.500 I
0.837 0.837 0.175 I
0.840 0.840 0.665 I
```

- calculated total energy (eV per atom) = -4.66
- ΔE to the lowest computed polymorph (meV/atom) = 0

---

(15)
VASP calculation (PBE-GGA) on crystalline SmCu6Pd6 at its relaxed geometry.

```
SmCu6Pd6
1.0
-2.500 4.329 4.432
2.500 -4.329 4.432
2.500 4.329 -4.432
Sm Cu Pd
1 6 6
Direct
0.000 0.000 0.000 Sm
0.000 0.000 0.500 Cu
0.000 0.500 0.000 Cu
0.236 0.736 0.500 Cu
0.500 0.000 0.000 Cu
0.500 0.500 0.500 Cu
0.764 0.264 0.500 Cu
0.193 0.500 0.693 Pd
0.344 0.000 0.344 Pd
0.347 0.347 0.000 Pd
0.653 0.653 0.000 Pd
0.656 0.000 0.656 Pd
0.807 0.500 0.307 Pd
```

- calculated total energy (eV per atom) = -4.80
- E_form (eV/atom) = -0.335

---

(16)
VASP calculation (PBE-GGA) on crystalline BeRe2As at its relaxed geometry.

```
BeRe2As
1.0
0.000 3.047 3.047
3.047 0.000 3.047
3.047 3.047 0.000
Be Re As
1 2 1
Direct
0.000 0.000 0.000 Be
0.250 0.250 0.250 Re
0.500 0.500 0.500 Re
0.750 0.750 0.750 As
```

- calculated total energy (eV per atom) = -7.87

---

(17)
VASP calculation (PBE-GGA) on crystalline Fe3CuAs5 at its relaxed geometry.

```
Fe3CuAs5
1.0
4.908 0.000 0.000
-2.454 4.250 0.000
0.000 0.000 7.322
Fe Cu As
3 1 5
Direct
0.000 0.500 0.000 Fe
0.500 0.000 0.000 Fe
0.500 0.500 0.000 Fe
0.000 0.000 0.500 Cu
0.000 0.000 0.000 As
0.333 0.667 0.286 As
0.333 0.667 0.714 As
0.667 0.333 0.286 As
0.667 0.333 0.714 As
```

- calculated total energy (eV per atom) = -5.61

---

(18)
VASP calculation (PBE-GGA) on crystalline La6TmP at its relaxed geometry.

```
La6TmP
1.0
4.946 2.855 3.231
-4.946 2.855 3.231
0.000 -5.711 3.231
La Tm P
6 1 1
Direct
0.045 0.773 0.606 La
0.227 0.394 0.955 La
0.394 0.955 0.227 La
0.606 0.045 0.773 La
0.773 0.606 0.045 La
0.955 0.227 0.394 La
0.500 0.500 0.500 Tm
0.000 0.000 0.000 P
```

- calculated total energy (eV per atom) = -5.19

---

(19)
VASP calculation (PBE-GGA) on crystalline NpTcB at its relaxed geometry.

```
NpTcB
1.0
0.000 2.846 2.846
2.846 0.000 2.846
2.846 2.846 0.000
Np Tc B
1 1 1
Direct
0.000 0.000 0.000 Np
0.500 0.500 0.500 Tc
0.250 0.250 0.250 B
```

- calculated total energy (eV per atom) = -9.65

---

(20)
VASP calculation (PBE-GGA) on crystalline GdTmCd2 at its relaxed geometry.

```
GdTmCd2
1.0
3.702 0.000 0.000
0.000 3.702 0.000
0.000 0.000 7.536
Gd Tm Cd
1 1 2
Direct
0.000 0.000 0.000 Gd
0.000 0.000 0.500 Tm
0.500 0.500 0.261 Cd
0.500 0.500 0.739 Cd
```

- calculated total energy (eV per atom) = -3.05
- ΔE to the lowest computed polymorph (meV/atom) = 0
- E_form (eV/atom) = -0.323

---

(21)
VASP calculation (PBE-GGA) on crystalline MgBeNiSn at its relaxed geometry.

```
MgBeNiSn
1.0
0.000 3.115 3.115
3.115 0.000 3.115
3.115 3.115 0.000
Mg Be Ni Sn
1 1 1 1
Direct
0.000 0.000 0.000 Mg
0.250 0.250 0.250 Be
0.500 0.500 0.500 Ni
0.750 0.750 0.750 Sn
```

- calculated total energy (eV per atom) = -3.54
- ΔE to the lowest computed polymorph (meV/atom) = 96

---

(22)
VASP calculation (PBE-GGA) on crystalline LuCdCoAs at its relaxed geometry.

```
LuCdCoAs
1.0
0.000 3.316 3.316
3.316 0.000 3.316
3.316 3.316 0.000
Lu Cd Co As
1 1 1 1
Direct
0.000 0.000 0.000 Lu
0.750 0.750 0.750 Cd
0.500 0.500 0.500 Co
0.250 0.250 0.250 As
```

- calculated total energy (eV per atom) = -4.40
- ΔE to the lowest computed polymorph (meV/atom) = 0

---

(23)
VASP calculation (PBE-GGA) on crystalline LiGeAu3Se4 at its relaxed geometry.

```
LiGeAu3Se4
1.0
6.039 0.000 0.000
0.000 6.039 0.000
0.000 0.000 6.039
Li Ge Au Se
1 1 3 4
Direct
0.000 0.000 0.000 Li
0.500 0.500 0.500 Ge
0.000 0.500 0.500 Au
0.500 0.000 0.500 Au
0.500 0.500 0.000 Au
0.236 0.236 0.236 Se
0.236 0.764 0.764 Se
0.764 0.236 0.764 Se
0.764 0.764 0.236 Se
```

- calculated total energy (eV per atom) = -3.45
- ΔE to the lowest computed polymorph (meV/atom) = 64

---

(24)
VASP calculation (PBE-GGA) on crystalline GaNiAgHg at its relaxed geometry.

```
GaNiAgHg
1.0
0.000 3.221 3.221
3.221 0.000 3.221
3.221 3.221 0.000
Ga Ni Ag Hg
1 1 1 1
Direct
0.000 0.000 0.000 Ga
0.250 0.250 0.250 Ni
0.500 0.500 0.500 Ag
0.750 0.750 0.750 Hg
```

- calculated total energy (eV per atom) = -2.74

---

(25)
VASP calculation (PBE-GGA) on crystalline GdLu2Ni4Ge4 at its relaxed geometry.

```
GdLu2Ni4Ge4
1.0
-2.017 3.381 6.681
2.017 -3.381 6.681
2.017 3.381 -6.681
Gd Lu Ni Ge
1 2 4 4
Direct
0.000 0.000 0.000 Gd
0.371 0.871 0.500 Lu
0.629 0.129 0.500 Lu
0.018 0.322 0.697 Ni
0.375 0.678 0.697 Ni
0.625 0.322 0.303 Ni
0.982 0.678 0.303 Ni
0.219 0.219 0.000 Ge
0.309 0.500 0.809 Ge
0.691 0.500 0.191 Ge
0.781 0.781 0.000 Ge
```

- calculated total energy (eV per atom) = -5.70